This record from Alexandria via LeMat-Bulk describes a relaxed structure of MnCu2Se. The functional is PBE.

abc: 4.3799 4.3799 4.3799
angles: 60.00 60.00 60.00
Element x y z (fractional)
Mn  0.0000  0.0000  0.0000
Cu  0.2500  0.2500  0.2500
Cu  0.5000  0.5000  0.5000
Se  0.7500  0.7500  0.7500

Computed properties:
E_form (uncorrected): 22.5 kJ/mol of atoms
mass density: 7.29 g/cm³
magnetic moment: 4.225 μB/cell
space-group type: F-43m (216)
E: -4.9786 eV/atom

This record from Alexandria via LeMat-Bulk describes a relaxed structure of MnCuSe2. The functional is PBE.

abc: 3.1801 3.1801 6.3391
angles: 90.00 90.00 90.00
Element x y z (fractional)
Mn  0.0000  0.0000  0.0000
Cu  0.0000  0.0000  0.5000
Se  0.5000  0.5000  0.2362
Se  0.5000  0.5000  0.7638

Computed properties:
E_form (uncorrected): 10.5 kJ/mol of atoms
mass density: 7.16 g/cm³
magnetic moment: 2.630 μB/cell
space-group type: P4/mmm (123)
E: -4.9495 eV/atom

This record from Alexandria via LeMat-Bulk describes a relaxed structure of MnCuSe2. The functional is PBE.

abc: 6.8052 6.8052 6.8052
angles: 151.03 149.93 42.24
Element x y z (fractional)
Mn  0.0000  0.0000  0.0000
Cu  0.6864  0.1864  0.5000
Se  0.1602  0.6602  0.5000
Se  0.4166  0.4166  0.0000

Computed properties:
E_form (uncorrected): -10.7 kJ/mol of atoms
mass density: 6.02 g/cm³
magnetic moment: 3.915 μB/cell
space-group type: Imm2 (44)
E: -5.1698 eV/atom

This record from Alexandria via LeMat-Bulk describes a relaxed structure of Mn2Cu2Se5. The functional is PBE.

abc: 13.8486 13.8486 13.8486
angles: 16.75 16.75 16.75
Element x y z (fractional)
Mn  0.0000  0.0000  0.0000
Mn  0.1655  0.1655  0.1655
Cu  0.4223  0.4223  0.4223
Cu  0.5775  0.5775  0.5775
Se  0.1058  0.1058  0.1058
Se  0.2291  0.2291  0.2291
Se  0.3636  0.3636  0.3636
Se  0.5048  0.5048  0.5048
Se  0.6364  0.6364  0.6364

Computed properties:
E_form (uncorrected): -23.1 kJ/mol of atoms
mass density: 5.45 g/cm³
magnetic moment: 6.457 μB/cell
space-group type: R3m (160)
E: -5.1231 eV/atom

This record from Alexandria via LeMat-Bulk describes a relaxed structure of MnCuSe2. The functional is PBE.

abc: 4.3664 4.3664 4.3664
angles: 60.00 60.00 60.00
Element x y z (fractional)
Mn  0.0000  0.0000  0.0000
Cu  0.5000  0.5000  0.5000
Se  0.2500  0.2500  0.2500
Se  0.7500  0.7500  0.7500

Computed properties:
E_form (uncorrected): 30.8 kJ/mol of atoms
mass density: 7.80 g/cm³
magnetic moment: 0.005 μB/cell
space-group type: Fm-3m (225)
E: -4.7393 eV/atom

This record from Alexandria via LeMat-Bulk describes a relaxed structure of MnCu2Se. The functional is PBE.

abc: 3.0644 3.0644 5.6201
angles: 90.00 90.00 90.00
Element x y z (fractional)
Mn  0.0000  0.0000  0.0000
Cu  0.0000  0.0000  0.5168
Cu  0.5000  0.5000  0.7303
Se  0.5000  0.5000  0.1964

Computed properties:
E_form (uncorrected): 16.7 kJ/mol of atoms
mass density: 8.21 g/cm³
magnetic moment: 0.006 μB/cell
space-group type: P4mm (99)
E: -5.0384 eV/atom